1.
Computed, not measured: crystalline Pm12PrDy7 at its relaxed geometry at the PBE level of DFT.

```
Pm12PrDy7
1.0
7.6137 4.3958 3.3815
-7.6137 4.3958 3.3815
0.0000 -8.7916 3.3815
Pm Pr Dy
12 1 7
direct
0.0498 0.4077 0.2969
0.2231 0.3764 0.6703
0.2969 0.0498 0.4077
0.3297 0.7769 0.6236
0.3764 0.6703 0.2231
0.4077 0.2969 0.0498
0.5923 0.7031 0.9502
0.6236 0.3297 0.7769
0.6703 0.2231 0.3764
0.7031 0.9502 0.5923
0.7769 0.6236 0.3297
0.9502 0.5923 0.7031
0.0000 0.0000 0.0000
0.0090 0.3212 0.8945
0.1055 0.9910 0.6788
0.3212 0.8945 0.0090
0.5000 0.5000 0.5000
0.6788 0.1055 0.9910
0.8945 0.0090 0.3212
0.9910 0.6788 0.1055
```

## Properties
The calculation puts the energy of formation at 0.156 eV/atom. The calculation puts the spin magnetization at 0.000 μB/f.u. The total energy is -90.9 eV for the cell shown.



2.
Computed, not measured: crystalline PmPr3Dy6 at its relaxed geometry at the PBE level of DFT.

```
PmPr3Dy6
1.0
5.5210 -9.5264 0.0000
5.5210 9.5264 0.0000
0.0000 0.0000 6.3813
Pm Pr Dy
2 6 12
direct
0.1942 0.8058 0.5000
0.8058 0.1942 0.0000
0.0630 0.2905 0.6648
0.2905 0.0630 0.1648
0.3881 0.6119 0.5567
0.6119 0.3881 0.0567
0.7095 0.9370 0.6648
0.9370 0.7095 0.1648
0.0383 0.9617 0.7588
0.0503 0.4697 0.2550
0.2734 0.7266 0.9798
0.2872 0.3777 0.0816
0.3777 0.2872 0.5816
0.4697 0.0503 0.7550
0.5303 0.9497 0.2550
0.6223 0.7128 0.0816
0.7128 0.6223 0.5816
0.7266 0.2734 0.4798
0.9497 0.5303 0.7550
0.9617 0.0383 0.2588
```

## Properties
The calculation puts the energy of formation at 0.147 eV/atom. The calculation puts the spin magnetization at 0.000 μB/f.u. The total energy is -90.5 eV for the cell shown.



3.
Computed, not measured: crystalline Pm3Pr7Dy at its relaxed geometry at the PBE level of DFT.

```
Pm3Pr7Dy
1.0
5.9370 -5.1832 0.0000
5.9370 5.1832 0.0000
-0.5812 0.0000 6.5418
Pm Pr Dy
3 7 1
direct
0.0000 0.0000 0.0000
0.1702 0.8298 0.5000
0.8298 0.1702 0.5000
0.0807 0.4273 0.2384
0.2390 0.2390 0.7149
0.4273 0.0807 0.2384
0.5000 0.5000 0.5000
0.5727 0.9193 0.7616
0.7610 0.7610 0.2851
0.9193 0.5727 0.7616
0.5000 0.5000 0.0000
```

## Properties
The calculation puts the energy of formation at 0.226 eV/atom. The calculation puts the spin magnetization at 0.000 μB/f.u. The total energy is -49.8 eV for the cell shown.



4.
Computed, not measured: crystalline PmPr2Dy5 at its relaxed geometry at the PBE level of DFT.

```
PmPr2Dy5
1.0
8.1937 -4.9874 0.0000
8.1937 4.9874 0.0000
-0.9392 0.0000 6.4881
Pm Pr Dy
2 4 10
direct
0.0000 0.5000 0.0000
0.5000 0.0000 0.5000
0.1690 0.6749 0.8852
0.3251 0.8310 0.6148
0.6749 0.1690 0.3852
0.8310 0.3251 0.1148
0.0118 0.1868 0.6452
0.1868 0.0118 0.1452
0.2130 0.3920 0.4751
0.3920 0.2130 0.9751
0.4408 0.5592 0.2500
0.5592 0.4408 0.7500
0.6080 0.7870 0.0249
0.7870 0.6080 0.5249
0.8132 0.9882 0.8548
0.9882 0.8132 0.3548
```

## Properties
The calculation puts the energy of formation at 0.169 eV/atom. The calculation puts the spin magnetization at 0.000 μB/f.u. The total energy is -71.9 eV for the cell shown.



5.
Computed, not measured: crystalline Pm4PrDy15 at its relaxed geometry at the PBE level of DFT.

```
Pm4PrDy15
1.0
5.0577 0.0000 0.0000
0.0000 5.0577 0.0000
0.0000 0.0000 25.1860
Pm Pr Dy
4 1 15
direct
0.0000 0.0000 0.1000
0.0000 0.0000 0.2998
0.0000 0.0000 0.7002
0.0000 0.0000 0.9000
0.0000 0.0000 0.5000
0.0000 0.5000 0.0000
0.0000 0.5000 0.1999
0.0000 0.5000 0.3995
0.0000 0.5000 0.6005
0.0000 0.5000 0.8001
0.5000 0.0000 0.0000
0.5000 0.0000 0.1999
0.5000 0.0000 0.3995
0.5000 0.0000 0.6005
0.5000 0.0000 0.8001
0.5000 0.5000 0.1000
0.5000 0.5000 0.2996
0.5000 0.5000 0.5000
0.5000 0.5000 0.7004
0.5000 0.5000 0.9000
```

## Properties
The calculation puts the energy of formation at 0.018 eV/atom. The calculation puts the spin magnetization at 0.000 μB/f.u. The total energy is -92.4 eV for the cell shown.



6.
Computed, not measured: crystalline PmPrDy5 at its relaxed geometry at the PBE level of DFT.

```
PmPrDy5
1.0
5.8801 -3.4155 0.0000
5.8801 3.4155 0.0000
-4.0319 0.0000 11.5183
Pm Pr Dy
2 2 10
direct
0.0262 0.9738 0.7500
0.9738 0.0262 0.2500
0.0000 0.5000 0.0000
0.5000 0.0000 0.5000
0.1385 0.4193 0.7466
0.1972 0.6507 0.5015
0.3493 0.8028 0.9985
0.4144 0.5856 0.2500
0.4193 0.1385 0.2466
0.5807 0.8615 0.7534
0.5856 0.4144 0.7500
0.6507 0.1972 0.0015
0.8028 0.3493 0.4985
0.8615 0.5807 0.2534
```

## Properties
The calculation puts the energy of formation at 0.188 eV/atom. The calculation puts the spin magnetization at 0.000 μB/f.u. The total energy is -62.5 eV for the cell shown.



7.
Computed, not measured: crystalline Pm5Pr2Dy4 at its relaxed geometry at the PBE level of DFT.

```
Pm5Pr2Dy4
1.0
-1.7731 4.5989 11.8121
1.7731 -4.5989 11.8121
1.7731 4.5989 -11.8121
Pm Pr Dy
5 2 4
direct
0.0000 0.0000 0.0000
0.0543 0.3572 0.6971
0.3399 0.6428 0.6971
0.6601 0.3572 0.3029
0.9457 0.6428 0.3029
0.2681 0.7681 0.5000
0.7319 0.2319 0.5000
0.3120 0.5000 0.8120
0.4036 0.9036 0.5000
0.5964 0.0964 0.5000
0.6880 0.5000 0.1880
```

## Properties
The calculation puts the energy of formation at 0.179 eV/atom. The calculation puts the spin magnetization at 0.000 μB/f.u. The total energy is -49.8 eV for the cell shown.



8.
Computed, not measured: crystalline PmPr2DyPt2 at its relaxed geometry at the PBE level of DFT.

```
PmPr2DyPt2
1.0
-3.4547 7.1640 3.4521
3.4547 -7.1640 3.4521
3.4547 7.1640 -3.4521
Pm Pr Dy Pt
2 4 2 4
direct
0.2500 0.2500 0.0000
0.7500 0.7500 0.0000
0.1922 0.7134 0.9056
0.3078 0.2134 0.5212
0.6922 0.7866 0.4788
0.8078 0.2866 0.0944
0.2500 0.7500 0.5000
0.7500 0.2500 0.5000
0.1099 0.2665 0.3764
0.3901 0.7665 0.1566
0.6099 0.2335 0.8434
0.8901 0.7335 0.6236
```

## Properties
The calculation puts the energy of formation at -0.793 eV/atom. The calculation puts the spin magnetization at 0.000 μB/f.u. The total energy is -71.5 eV for the cell shown.



Repeat the fourth record exactly.
Computed, not measured: crystalline PmPr2Dy5 at its relaxed geometry at the PBE level of DFT.

```
PmPr2Dy5
1.0
8.1937 -4.9874 0.0000
8.1937 4.9874 0.0000
-0.9392 0.0000 6.4881
Pm Pr Dy
2 4 10
direct
0.0000 0.5000 0.0000
0.5000 0.0000 0.5000
0.1690 0.6749 0.8852
0.3251 0.8310 0.6148
0.6749 0.1690 0.3852
0.8310 0.3251 0.1148
0.0118 0.1868 0.6452
0.1868 0.0118 0.1452
0.2130 0.3920 0.4751
0.3920 0.2130 0.9751
0.4408 0.5592 0.2500
0.5592 0.4408 0.7500
0.6080 0.7870 0.0249
0.7870 0.6080 0.5249
0.8132 0.9882 0.8548
0.9882 0.8132 0.3548
```

## Properties
The calculation puts the energy of formation at 0.169 eV/atom. The calculation puts the spin magnetization at 0.000 μB/f.u. The total energy is -71.9 eV for the cell shown.



- What is the formula in the second record?
  PmPr3Dy6



- Which formula does entry 3 have?
  Pm3Pr7Dy